# 1
This record from the Alexandria database describes a relaxed structure of La2TeBr. The functional is PBE.

Calculated values
* energy above the most stable polymorph in this dataset: 0.04 eV per formula unit
* formation energy from raw total energies: -1.413 eV/atom
* total magnetization: 0.00 μB/cell
* density: 6.43 g/cm³
* crystal system: orthorhombic

```
8
Lattice="4.599 0.000 0.000 0.000 6.331 0.000 0.000 0.000 8.609" Properties=species:S:1:pos:R:3 pbc="T T T"
La 1.150 1.583 0.983
La 1.150 1.583 5.432
La 3.449 4.748 3.176
La 3.449 4.748 7.626
Te 1.150 4.748 5.404
Te 3.449 1.583 3.205
Br 1.150 4.748 1.096
Br 3.449 1.583 7.512
```



# 2
This record from the Alexandria database describes a relaxed structure of CsSrBi2. The functional is PBE.

Calculated values
* energy above the most stable polymorph in this dataset: 0.83 eV per formula unit
* total magnetization: 0.00 μB/cell
* density: 6.85 g/cm³
* crystal system: tetragonal

```
4
Lattice="5.423 0.000 0.000 0.000 5.423 0.000 0.000 0.000 5.260" Properties=species:S:1:pos:R:3 pbc="T T T"
Cs 0.000 0.000 0.000
Sr 2.712 2.712 0.000
Bi 0.000 2.712 2.630
Bi 2.712 0.000 2.630
```